Material: Li7Mg2Zn
Method: DFT, PBE
State: optimized geometry

ΔE to the lowest computed polymorph = 0 meV/atom
Calculated formation energy = 3.8 kJ per mole of atoms
SG = P3m1, No. 156
Raw total energy = -17.462 eV/cell

a b c (Å): 4.694 4.694 10.254
angles (deg): 90.00 90.00 120.00
Positions (direct):
Mg (0.333, 0.667, 0.607)
Mg (0.667, 0.333, 0.430)
Li (0.333, 0.667, 0.101)
Li (0.667, 0.333, 0.772)
Li (0.000, 0.000, 0.574)
Li (0.333, 0.667, 0.869)
Li (0.000, 0.000, 0.249)
Li (0.667, 0.333, 0.076)
Li (0.333, 0.667, 0.346)
Zn (0.000, 0.000, 0.959)

Material: DyY8Al2
Method: DFT, PBE
State: optimized geometry

ΔE to the lowest computed polymorph = 0 meV/atom
Calculated formation energy = -11.5 kJ per mole of atoms
SG = C2/m, No. 12
Raw total energy = -65.107 eV/cell

a b c (Å): 5.215 8.253 8.628
angles (deg): 113.05 107.59 90.00
Positions (direct):
Y (0.611, 0.472, 0.222)
Y (0.943, 0.266, 0.886)
Y (0.389, 0.528, 0.778)
Y (0.057, 0.734, 0.114)
Y (0.312, 0.046, 0.623)
Y (0.688, 0.954, 0.377)
Y (0.154, 0.223, 0.307)
Y (0.846, 0.777, 0.693)
Al (0.776, 0.358, 0.552)
Al (0.224, 0.642, 0.448)
Dy (0.500, 0.000, 0.000)

Material: Nb2Zn3Ni
Method: DFT, PBE
State: optimized geometry

Calculated formation energy = -15.0 kJ per mole of atoms
SG = P6_3/mmc, No. 194
Raw total energy = -61.349 eV/cell

a b c (Å): 5.024 5.024 8.023
angles (deg): 90.00 90.00 120.00
Positions (direct):
Nb (0.667, 0.333, 0.065)
Nb (0.333, 0.667, 0.935)
Nb (0.333, 0.667, 0.565)
Nb (0.667, 0.333, 0.435)
Ni (0.000, 0.000, 0.000)
Ni (0.000, 0.000, 0.500)
Zn (0.832, 0.663, 0.750)
Zn (0.168, 0.831, 0.250)
Zn (0.832, 0.169, 0.750)
Zn (0.663, 0.831, 0.250)
Zn (0.168, 0.337, 0.250)
Zn (0.337, 0.169, 0.750)

Material: GaSi2HS
Method: DFT, PBE
State: optimized geometry

ΔE to the lowest computed polymorph = 0 meV/atom
SG = R3m, No. 160
Raw total energy = -67.543 eV/cell

a b c (Å): 3.777 3.777 25.684
angles (deg): 90.00 90.00 120.00
Positions (direct):
S (0.000, 0.000, 0.055)
S (0.333, 0.667, 0.722)
S (0.667, 0.333, 0.388)
Si (0.333, 0.667, 0.922)
Si (0.000, 0.000, 0.558)
Si (0.667, 0.333, 0.588)
Si (0.000, 0.000, 0.255)
Si (0.667, 0.333, 0.891)
Si (0.333, 0.667, 0.224)
H (0.000, 0.000, 0.499)
H (0.667, 0.333, 0.832)
H (0.333, 0.667, 0.166)
Ga (0.000, 0.000, 0.349)
Ga (0.333, 0.667, 0.016)
Ga (0.667, 0.333, 0.682)

Material: LiIrN2O
Method: DFT, PBE
State: optimized geometry

SG = P4/mmm, No. 123
Raw total energy = -23.967 eV/cell
Raw formation energy = 8.416 eV/f.u.

a b c (Å): 3.546 3.546 3.522
angles (deg): 90.00 90.00 90.00
Positions (direct):
Li (0.000, 0.000, 0.000)
O (0.000, 0.000, 0.500)
Ir (0.500, 0.500, 0.500)
N (0.000, 0.500, 0.000)
N (0.500, 0.000, 0.000)

Material: AcTbGaRu
Method: DFT, PBE
State: optimized geometry

Calculated formation energy = -22.4 kJ per mole of atoms
SG = F-43m, No. 216
Raw total energy = -21.969 eV/cell

a b c (Å): 5.176 5.176 5.176
angles (deg): 60.00 60.00 60.00
Positions (direct):
Ac (0.000, 0.000, 0.000)
Ga (0.250, 0.250, 0.250)
Tb (0.500, 0.500, 0.500)
Ru (0.750, 0.750, 0.750)

Material: PmSm4Y3Se8
Method: DFT, PBE
State: optimized geometry

SG = R-3m, No. 166
Raw total energy = -99.610 eV/cell
Raw formation energy = -28.714 eV/f.u.

a b c (Å): 8.274 8.307 8.276
angles (deg): 119.89 119.99 90.00
Positions (direct):
Se (0.747, 0.742, 0.494)
Se (0.253, 0.258, 0.506)
Se (0.744, 0.745, 0.994)
Se (0.749, 0.255, 0.499)
Se (0.256, 0.255, 0.006)
Se (0.749, 0.255, 0.006)
Se (0.251, 0.745, 0.501)
Se (0.251, 0.745, 0.994)
Sm (0.500, 0.000, 0.500)
Sm (0.500, 0.000, 0.000)
Sm (0.000, 0.000, 0.000)
Sm (0.000, 0.000, 0.500)
Y (0.000, 0.500, 0.500)
Y (0.500, 0.500, 0.500)
Y (0.500, 0.500, 0.000)
Pm (0.000, 0.500, 0.000)

Material: CrIn3
Method: DFT, PBE
State: optimized geometry

Calculated formation energy = 30.4 kJ per mole of atoms
SG = P-6m2, No. 187
Raw total energy = -16.576 eV/cell

a b c (Å): 3.313 3.313 9.858
angles (deg): 90.00 90.00 120.00
Positions (direct):
In (0.667, 0.333, 0.778)
In (0.000, 0.000, 0.500)
In (0.667, 0.333, 0.222)
Cr (0.000, 0.000, 0.000)

Material: V2Pt7Au
Method: DFT, PBE
State: optimized geometry

Calculated formation energy = 18.7 kJ per mole of atoms
SG = Cmmm, No. 65
Raw total energy = -61.860 eV/cell

a b c (Å): 4.125 7.408 7.408
angles (deg): 122.24 90.00 90.00
Positions (direct):
Pt (0.500, 0.080, 0.307)
Pt (0.000, 0.207, 0.793)
Pt (0.500, 0.307, 0.080)
Pt (0.500, 0.920, 0.693)
Pt (0.000, 0.793, 0.207)
Pt (0.500, 0.693, 0.920)
Pt (0.500, 0.500, 0.500)
Au (0.000, 0.000, 0.000)
V (0.500, 0.303, 0.697)
V (0.500, 0.697, 0.303)

Material: Cu2Br
Method: DFT, PBE
State: optimized geometry

ΔE to the lowest computed polymorph = 3 meV/atom
SG = C2/m, No. 12
Raw total energy = -19.721 eV/cell
Raw formation energy = 0.005 eV/f.u.

a b c (Å): 6.377 6.377 5.595
angles (deg): 66.55 66.55 32.91
Positions (direct):
Cu (0.097, 0.097, 0.031)
Cu (0.444, 0.444, 0.234)
Cu (0.556, 0.556, 0.766)
Cu (0.903, 0.903, 0.969)
Br (0.330, 0.330, 0.703)
Br (0.670, 0.670, 0.297)

Material: CrRe2Te
Method: DFT, PBE
State: optimized geometry

SG = I-4m2, No. 119
Raw total energy = -34.845 eV/cell
Raw formation energy = 2.817 eV/f.u.

a b c (Å): 4.917 4.917 4.917
angles (deg): 132.63 132.63 69.23
Positions (direct):
Re (0.000, 0.000, 0.000)
Re (0.250, 0.750, 0.500)
Cr (0.750, 0.250, 0.500)
Te (0.500, 0.500, 0.000)

Material: Zn2GeN3
Method: DFT, PBE
State: optimized geometry

SG = Cmc2_1, No. 36
Raw total energy = -63.293 eV/cell
Raw formation energy = 0.495 eV/f.u.

a b c (Å): 5.261 5.606 5.606
angles (deg): 120.01 90.00 90.00
Positions (direct):
Zn (0.558, 0.498, 0.832)
Zn (0.558, 0.832, 0.498)
Zn (0.058, 0.502, 0.168)
Zn (0.058, 0.168, 0.502)
N (0.439, 0.481, 0.166)
N (0.939, 0.834, 0.519)
N (0.413, 0.852, 0.852)
N (0.939, 0.519, 0.834)
N (0.913, 0.148, 0.148)
N (0.439, 0.166, 0.481)
Ge (0.051, 0.835, 0.835)
Ge (0.551, 0.165, 0.165)